# PmScHgIr

Crystalline PmScHgIr at its relaxed geometry (PBE, the Alexandria database).

Values from the calculation:
* calculated volume: 21.89 Å³ per atom
* total DFT energy (no corrections): -5.58 eV/atom
* formation enthalpy at 0 K: -0.52 eV/atom
* size of the total moment: 0.0 μB/cell

Lattice parameters (Å, degrees): 7.048 7.048 7.048 90.00 90.00 90.00
Space group F-43m (No. 216)
Inequivalent atoms, fractional coordinates:
Pm: 0.000 0.000 0.000 [4 per cell]
Sc: 0.000 0.000 0.500 [4 per cell]
Hg: 0.250 0.250 0.750 [4 per cell]
Ir: 0.250 0.250 0.250 [4 per cell]